1.
CdSnP2: optimized geometry, PBE-GGA.

Summary:
* total moment: 0.0 μB per formula unit
* calculated volume: 106.0 Å³/f.u.
* calculated total energy: -3.7197 eV/atom
* calculated density: 4.6 g/cm³

a = 4.0167 Å, b = 4.0167 Å, c = 7.9349 Å
α = 75.34°, β = 75.34°, γ = 60.00°
Last column: nearest neighbours and their distance in Å.
Positions (direct):
Sn: 0.5000 0.5000 0.5000  6 P 2.69
Cd: 0.0000 0.0000 0.0000  2 P 2.44
P: 0.8929 0.8929 0.3212  1 Cd 2.44, 3 Sn 2.69
P: 0.1071 0.1071 0.6788  1 Cd 2.44, 3 Sn 2.69

***

2.
MnAs: optimized geometry, PBE-GGA.

Summary:
* total moment: 2.3 μB per formula unit
* calculated volume: 29.8 Å³/f.u.
* calculated total energy: -6.9585 eV/atom
* calculated density: 7.2 g/cm³

a = 4.0373 Å, b = 3.1895 Å, c = 4.8893 Å
α = 70.97°, β = 90.00°, γ = 90.00°
Last column: nearest neighbours and their distance in Å.
Positions (direct):
Mn: 0.0000 0.2916 0.5420  2 Mn 2.54, 7 As 2.56-2.61
Mn: 0.5000 0.4584 0.2080  2 Mn 2.54, 7 As 2.56-2.61
As: 0.0000 0.0085 0.1076  7 Mn 2.56-2.61
As: 0.5000 0.7415 0.6424  7 Mn 2.56-2.61

***

3.
BePt2: optimized geometry, PBE-GGA.

Summary:
* total moment: 0.0 μB per formula unit
* calculated volume: 39.5 Å³/f.u.
* calculated total energy: -5.7855 eV/atom
* calculated density: 16.8 g/cm³

a = 5.5162 Å, b = 3.8942 Å, c = 7.3491 Å
α = 90.00°, β = 90.00°, γ = 90.00°
Last column: nearest neighbours and their distance in Å.
Positions (direct):
Be: 0.7214 0.2500 0.6093  7 Pt 2.40-2.47
Be: 0.2214 0.2500 0.8907  7 Pt 2.40-2.47
Be: 0.7786 0.7500 0.1093  7 Pt 2.40-2.47
Be: 0.2786 0.7500 0.3907  7 Pt 2.40-2.47
Pt: 0.4749 0.7500 0.6924  3 Be 2.45-2.47
Pt: 0.0251 0.2500 0.1924  3 Be 2.45-2.47
Pt: 0.9749 0.7500 0.8076  3 Be 2.45-2.47
Pt: 0.6573 0.2500 0.9318  4 Be 2.40-2.44
Pt: 0.3427 0.7500 0.0682  4 Be 2.40-2.44
Pt: 0.8427 0.7500 0.4318  4 Be 2.40-2.44
Pt: 0.1573 0.2500 0.5682  4 Be 2.40-2.44
Pt: 0.5251 0.2500 0.3076  3 Be 2.45-2.47

***

4.
SmCuI6: optimized geometry, PBE-GGA.

Summary:
* total moment: 0.0 μB per formula unit
* formation energy from raw total energies: -475 kJ/mol of formula units
* calculated volume: 378.7 Å³/f.u.
* calculated density: 4.3 g/cm³

a = 9.5393 Å, b = 10.4451 Å, c = 7.8070 Å
α = 57.57°, β = 57.82°, γ = 36.06°
Last column: nearest neighbours and their distance in Å.
Positions (direct):
I: 0.8877 0.4750 0.3206  1 Sm 3.00
I: 0.6182 0.2270 0.2885  1 Cu 2.64
I: 0.1123 0.5250 0.6794  1 Sm 3.00
I: 0.3818 0.7730 0.7115  1 Cu 2.64
I: 0.7419 0.0763 0.8639  1 Cu 2.56
I: 0.2581 0.9237 0.1361  1 Cu 2.56
Cu: 0.0000 0.0000 0.0000  4 I 2.56-2.64
Sm: 0.5000 0.5000 0.5000  6 I 3.00-3.16

***

5.
CeNiAgSn: optimized geometry, PBE-GGA.

Summary:
* total moment: 0.5 μB per formula unit
* calculated volume: 81.2 Å³/f.u.
* calculated total energy: -4.9538 eV/atom
* calculated density: 8.7 g/cm³

a = 4.8604 Å, b = 4.8604 Å, c = 4.8604 Å
α = 60.00°, β = 60.00°, γ = 60.00°
Last column: nearest neighbours and their distance in Å.
Positions (direct):
Ag: 0.5000 0.5000 0.5000  4 Sn 2.98, 4 Ce 2.98
Ni: 0.0000 0.0000 0.0000  4 Ce 2.98, 4 Sn 2.98
Ce: 0.7500 0.7500 0.7500  4 Ni 2.98, 4 Ag 2.98
Sn: 0.2500 0.2500 0.2500  4 Ni 2.98, 4 Ag 2.98

***

6.
SrZnBiP2: optimized geometry, PBE-GGA.

Summary:
* total moment: 0.0 μB per formula unit
* calculated volume: 162.8 Å³/f.u.
* calculated total energy: -2.5730 eV/atom
* calculated density: 4.3 g/cm³

a = 5.4705 Å, b = 5.4384 Å, c = 5.4705 Å
α = 90.00°, β = 90.00°, γ = 90.00°
Last column: nearest neighbours and their distance in Å.
Positions (direct):
Bi: 0.5000 0.5000 0.5000  8 P 3.86, 4 Zn 3.87
Sr: 0.0000 0.0000 0.0000  2 Zn 2.72, 4 P 2.74
P: 0.5000 0.0000 0.0000  2 Sr 2.74
P: 0.0000 0.0000 0.5000  2 Sr 2.74
Zn: 0.0000 0.5000 0.0000  2 Sr 2.72

***

7.
Pm6RuRh2Br3: optimized geometry, PBE-GGA.

Summary:
* total moment: 0.0 μB per formula unit
* formation energy from raw total energies: -1142 kJ/mol of formula units
* calculated volume: 337.0 Å³/f.u.
* calculated density: 7.0 g/cm³

a = 4.0689 Å, b = 9.1352 Å, c = 10.0005 Å
α = 111.71°, β = 101.74°, γ = 90.00°
Last column: nearest neighbours and their distance in Å.
Positions (direct):
Pm: 0.0098 0.2175 0.0197  2 Ru 2.80, 1 Rh 2.86
Pm: 0.9902 0.7825 0.9803  2 Ru 2.80, 1 Rh 2.86
Pm: 0.6524 0.1082 0.3047  1 Ru 2.77, 2 Rh 2.83
Pm: 0.6783 0.5528 0.3566  3 Rh 2.80
Pm: 0.3217 0.4472 0.6434  3 Rh 2.80
Pm: 0.3476 0.8918 0.6953  1 Ru 2.77, 2 Rh 2.83
Ru: 0.5000 0.0000 0.0000  6 Pm 2.77-2.80
Br: 0.8339 0.1672 0.6678  6 Pm 3.30-3.39
Br: 0.5000 0.5000 0.0000  6 Pm 3.34-3.35
Br: 0.1661 0.8328 0.3322  6 Pm 3.30-3.39
Rh: 0.1673 0.3340 0.3346  6 Pm 2.80-2.86
Rh: 0.8327 0.6660 0.6654  6 Pm 2.80-2.86

***

8.
AgHg2Pd: optimized geometry, PBE-GGA.

Summary:
* total moment: 0.0 μB per formula unit
* calculated volume: 76.1 Å³/f.u.
* calculated total energy: -2.1836 eV/atom
* calculated density: 13.4 g/cm³

a = 4.0382 Å, b = 4.3401 Å, c = 4.3401 Å
α = 90.00°, β = 90.00°, γ = 90.00°
Last column: nearest neighbours and their distance in Å.
Positions (direct):
Hg: 0.0000 0.5000 0.0000  4 Pd 2.96, 4 Ag 2.96, 4 Hg 3.07
Hg: 0.0000 0.0000 0.5000  4 Ag 2.96, 4 Pd 2.96, 4 Hg 3.07
Pd: 0.5000 0.5000 0.5000  8 Hg 2.96, 4 Ag 3.07
Ag: 0.5000 0.0000 0.0000  8 Hg 2.96, 4 Pd 3.07

***

9.
KTbSiO4: optimized geometry, PBE-GGA.

Summary:
* total moment: 0.0 μB per formula unit
* formation energy from raw total energies: -1954 kJ/mol of formula units
* calculated volume: 112.5 Å³/f.u.
* calculated density: 4.3 g/cm³

a = 5.6263 Å, b = 5.6639 Å, c = 7.3327 Å
α = 90.00°, β = 105.74°, γ = 90.00°
Last column: nearest neighbours and their distance in Å.
Positions (direct):
O: 0.5662 0.2500 0.8022  1 Si 1.63
O: 0.4338 0.7500 0.1978  1 Si 1.63
O: 0.0554 0.5236 0.3150  1 Si 1.66
O: 0.5703 0.2500 0.4456  1 Si 1.65
O: 0.0554 0.9764 0.3150  1 Si 1.66
O: 0.9446 0.0236 0.6850  1 Si 1.66
O: 0.9446 0.4764 0.6850  1 Si 1.66
O: 0.4297 0.7500 0.5544  1 Si 1.65
Tb: 0.7846 0.7500 0.4543  6 O 2.29-2.42
Tb: 0.2154 0.2500 0.5457  6 O 2.29-2.42
Si: 0.2485 0.7500 0.3350  4 O 1.63-1.66
Si: 0.7515 0.2500 0.6650  4 O 1.63-1.66
K: 0.3140 0.2500 0.0757  6 O 2.70-3.00
K: 0.6859 0.7500 0.9243  6 O 2.70-3.00

***

10.
KAc2Rh3O8: optimized geometry, PBE-GGA.

Summary:
* total moment: 0.0 μB per formula unit
* formation energy from raw total energies: -2257 kJ/mol of formula units
* calculated volume: 229.7 Å³/f.u.
* calculated density: 6.7 g/cm³

a = 6.5993 Å, b = 6.5993 Å, c = 7.1837 Å
α = 62.66°, β = 62.66°, γ = 60.00°
Last column: nearest neighbours and their distance in Å.
Positions (direct):
O: 0.2697 0.2697 0.7757  2 Rh 2.13, 1 Ac 2.39
O: 0.2909 0.2909 0.1273  3 Rh 2.09
O: 0.2697 0.6849 0.7757  2 Rh 2.13, 1 Ac 2.39
O: 0.7655 0.7655 0.1624  2 Rh 2.17
O: 0.6849 0.2697 0.7757  2 Rh 2.13, 1 Ac 2.39
O: 0.3067 0.7655 0.1624  2 Rh 2.17
O: 0.7216 0.7216 0.8353  3 Rh 2.11, 1 K 2.36
O: 0.7655 0.3067 0.1624  2 Rh 2.17
Rh: 0.5059 0.5059 0.9758  6 O 2.09-2.17
Rh: 0.0124 0.5059 0.9758  6 O 2.09-2.17
Rh: 0.5059 0.0124 0.9758  6 O 2.09-2.17
Ac: 0.0279 0.0279 0.9163  6 O 2.39-2.55
Ac: 0.5154 0.5154 0.4539  6 O 2.49-2.52
K: 0.8510 0.8510 0.4471  1 O 2.36

***

11.
Te2As2Rh3: optimized geometry, PBE-GGA.

Summary:
* total moment: 0.0 μB per formula unit
* formation energy from raw total energies: -252 kJ/mol of formula units
* calculated volume: 141.2 Å³/f.u.
* calculated density: 8.4 g/cm³

a = 6.7400 Å, b = 6.6136 Å, c = 6.8567 Å
α = 67.51°, β = 90.00°, γ = 90.00°
Last column: nearest neighbours and their distance in Å.
Positions (direct):
Te: 0.1655 0.6041 0.1483  4 Rh 2.66-2.84
Te: 0.3345 0.1041 0.1483  4 Rh 2.66-2.84
Te: 0.6655 0.8959 0.8517  4 Rh 2.66-2.84
Te: 0.8345 0.3959 0.8517  4 Rh 2.66-2.84
Rh: 0.5000 0.5000 0.0000  2 As 2.51, 4 Te 2.66-2.67
Rh: 0.4840 0.2885 0.6826  3 As 2.40-2.48
Rh: 0.0000 0.0000 0.0000  2 As 2.51, 4 Te 2.66-2.67
Rh: 0.5160 0.7115 0.3174  3 As 2.40-2.48
Rh: 0.9840 0.2115 0.3174  3 As 2.40-2.48
Rh: 0.0160 0.7885 0.6826  3 As 2.40-2.48
As: 0.6587 0.3515 0.3590  4 Rh 2.40-2.51
As: 0.8413 0.8515 0.3590  4 Rh 2.40-2.51
As: 0.1587 0.1485 0.6410  4 Rh 2.40-2.51
As: 0.3413 0.6485 0.6410  4 Rh 2.40-2.51

***

12.
Rb3MnRe: optimized geometry, PBE-GGA.

Summary:
* total moment: 7.4 μB per formula unit
* calculated volume: 298.9 Å³/f.u.
* calculated total energy: -3.0149 eV/atom
* calculated density: 2.8 g/cm³

a = 6.6864 Å, b = 6.6864 Å, c = 6.6864 Å
α = 90.00°, β = 90.00°, γ = 90.00°
Last column: nearest neighbours and their distance in Å.
Positions (direct):
Mn: 0.5000 0.5000 0.5000  12 Rb 4.73
Rb: 0.5000 0.0000 0.0000  2 Re 3.34
Rb: 0.0000 0.5000 0.0000  2 Re 3.34
Rb: 0.0000 0.0000 0.5000  2 Re 3.34
Re: 0.0000 0.0000 0.0000  6 Rb 3.34

***

13.
SrTi2Re: optimized geometry, PBE-GGA.

Summary:
* total moment: 0.0 μB per formula unit
* calculated volume: 76.7 Å³/f.u.
* calculated total energy: -6.8741 eV/atom
* calculated density: 8.0 g/cm³

a = 4.7694 Å, b = 4.7694 Å, c = 4.7694 Å
α = 60.00°, β = 60.00°, γ = 60.00°
Last column: nearest neighbours and their distance in Å.
Positions (direct):
Ti: 0.7500 0.7500 0.7500  4 Re 2.92, 4 Sr 2.92
Ti: 0.2500 0.2500 0.2500  4 Re 2.92, 4 Sr 2.92
Sr: 0.0000 0.0000 0.0000  8 Ti 2.92
Re: 0.5000 0.5000 0.5000  8 Ti 2.92

***

14.
YZnO2F: optimized geometry, PBE-GGA.

Summary:
* total moment: 0.2 μB per formula unit
* formation energy from raw total energies: -910 kJ/mol of formula units
* calculated volume: 83.6 Å³/f.u.
* calculated density: 4.1 g/cm³

a = 4.4319 Å, b = 4.4319 Å, c = 4.2584 Å
α = 90.00°, β = 90.00°, γ = 90.00°
Last column: nearest neighbours and their distance in Å.
Positions (direct):
Y: 0.0000 0.0000 0.0000  2 F 2.13, 4 O 2.22
F: 0.0000 0.0000 0.5000  2 Y 2.13
O: 0.0000 0.5000 0.0000  2 Y 2.22
O: 0.5000 0.0000 0.0000  2 Y 2.22
Zn: 0.5000 0.5000 0.5000  8 O 3.07, 4 F 3.13

***

15.
LiCaHo: optimized geometry, PBE-GGA.

Summary:
* total moment: 0.0 μB per formula unit
* calculated volume: 94.3 Å³/f.u.
* calculated total energy: -2.6607 eV/atom
* calculated density: 3.7 g/cm³

a = 3.5723 Å, b = 3.5723 Å, c = 8.5308 Å
α = 90.00°, β = 90.00°, γ = 120.00°
Last column: nearest neighbours and their distance in Å.
Positions (direct):
Ho: 0.0000 0.0000 0.0163  3 Li 3.34, 6 Ho 3.57, 3 Ca 3.68
Li: 0.6667 0.3333 0.3247  3 Ho 3.34, 3 Ca 3.52, 6 Li 3.57
Ca: 0.3333 0.6667 0.6590  3 Li 3.52, 6 Ca 3.57, 3 Ho 3.68

***

16.
Hf2AlC: optimized geometry, PBE-GGA.

Summary:
* total moment: 0.0 μB per formula unit
* calculated volume: 64.8 Å³/f.u.
* calculated total energy: -7.5074 eV/atom
* calculated density: 10.1 g/cm³

a = 4.5084 Å, b = 4.5084 Å, c = 4.5084 Å
α = 60.00°, β = 60.00°, γ = 60.00°
Last column: nearest neighbours and their distance in Å.
Positions (direct):
Al: 0.5000 0.5000 0.5000  8 Hf 2.76
C: 0.0000 0.0000 0.0000  8 Hf 2.76
Hf: 0.7500 0.7500 0.7500  4 Al 2.76, 4 C 2.76
Hf: 0.2500 0.2500 0.2500  4 Al 2.76, 4 C 2.76

***

17.
HoZn2B2O6: optimized geometry, PBE-GGA.

Summary:
* total moment: 0.3 μB per formula unit
* formation energy from raw total energies: -2323 kJ/mol of formula units
* calculated volume: 153.1 Å³/f.u.
* calculated density: 4.5 g/cm³

a = 4.9979 Å, b = 4.9979 Å, c = 7.0777 Å
α = 90.00°, β = 90.00°, γ = 120.00°
Last column: nearest neighbours and their distance in Å.
Positions (direct):
O: 0.3282 0.3869 0.8034  1 B 1.39
O: 0.9414 0.3282 0.1966  1 B 1.39
O: 0.6131 0.9414 0.8034  1 B 1.39
O: 0.0586 0.6718 0.8034  1 B 1.39
O: 0.3869 0.0586 0.1966  1 B 1.39
O: 0.6718 0.6131 0.1966  1 B 1.39
B: 0.6667 0.3333 0.2013  3 O 1.39
B: 0.3333 0.6667 0.7987  3 O 1.39
Zn: 0.3333 0.6667 0.3069  3 O 2.00
Zn: 0.6667 0.3333 0.6931  3 O 2.00
Ho: 0.0000 0.0000 0.0000  6 O 2.28

***

18.
Ac2Sm4Y7: optimized geometry, PBE-GGA.

Summary:
* total moment: 0.0 μB per formula unit
* calculated volume: 458.0 Å³/f.u.
* calculated total energy: -5.3643 eV/atom
* calculated density: 6.1 g/cm³

a = 6.2431 Å, b = 6.2431 Å, c = 13.5691 Å
α = 90.00°, β = 90.00°, γ = 120.00°
Last column: nearest neighbours and their distance in Å.
Positions (direct):
Sm: 0.0000 0.0000 0.3954  1 Sm 2.84
Sm: 0.6667 0.3333 0.5000  9 Sm 3.60-3.87
Sm: 0.3333 0.6667 0.5000  9 Sm 3.60-3.87
Sm: 0.0000 0.0000 0.6046  1 Sm 2.84
Y: 0.0000 0.0000 0.0000  6 Ac 3.60, 6 Y 3.70
Y: 0.6474 0.0000 0.2187  1 Sm 3.25, 4 Y 3.50, 2 Ac 3.59
Y: 0.3526 0.3526 0.2187  1 Sm 3.25, 4 Y 3.50, 2 Ac 3.59
Y: 0.0000 0.6474 0.2187  1 Sm 3.25, 4 Y 3.50, 2 Ac 3.59
Y: 0.6474 0.6474 0.7813  1 Sm 3.25, 4 Y 3.50, 2 Ac 3.59
Y: 0.3526 0.0000 0.7813  1 Sm 3.25, 4 Y 3.50, 2 Ac 3.59
Y: 0.0000 0.3526 0.7813  1 Sm 3.25, 4 Y 3.50, 2 Ac 3.59
Ac: 0.3333 0.6667 0.0000  9 Y 3.59-3.60, 3 Ac 3.60
Ac: 0.6667 0.3333 0.0000  9 Y 3.59-3.60, 3 Ac 3.60

***

19.
TmPuTe2S: optimized geometry, PBE-GGA.

Summary:
* total moment: 4.8 μB per formula unit
* formation energy from raw total energies: -621 kJ/mol of formula units
* calculated volume: 146.5 Å³/f.u.
* calculated density: 7.9 g/cm³

a = 4.3587 Å, b = 4.3587 Å, c = 15.4252 Å
α = 90.00°, β = 90.00°, γ = 90.00°
Last column: nearest neighbours and their distance in Å.
Positions (direct):
Tm: 0.0000 0.5000 0.8890  6 Te 2.90-3.16
Tm: 0.5000 0.0000 0.1110  6 Te 2.90-3.16
Te: 0.0000 0.5000 0.7010  1 Tm 2.90
Te: 0.0000 0.5000 0.0937  5 Tm 3.09-3.16
Te: 0.5000 0.0000 0.9063  5 Tm 3.09-3.16
Te: 0.5000 0.0000 0.2990  1 Tm 2.90
Pu: 0.0000 0.5000 0.3965  4 S 2.70
Pu: 0.5000 0.0000 0.6035  4 S 2.70
S: 0.5000 0.5000 0.5000  4 Pu 2.70
S: 0.0000 0.0000 0.5000  4 Pu 2.70

***

20.
ScCo2Mo: optimized geometry, PBE-GGA.

Summary:
* total moment: 2.6 μB per formula unit
* calculated volume: 57.8 Å³/f.u.
* calculated total energy: -7.7451 eV/atom
* calculated density: 7.4 g/cm³

a = 2.7588 Å, b = 2.7588 Å, c = 7.5955 Å
α = 90.00°, β = 90.00°, γ = 90.00°
Last column: nearest neighbours and their distance in Å.
Positions (direct):
Mo: 0.0000 0.0000 0.4659  4 Co 2.69, 4 Mo 2.76
Co: 0.0000 0.0000 0.0375  4 Co 2.40
Co: 0.5000 0.5000 0.2215  4 Co 2.40
Sc: 0.5000 0.5000 0.7752  4 Sc 2.76, 4 Co 2.79, 4 Mo 3.05